1.
! SrTcN3 (PBE, optimized geometry); values from VASP
! Space-group type   No. 1
! Size of the total moment   0.0 μB per cell
! Energy relative to the elements, uncorrected   -0.293 eV/atom
! Crystal system   triclinic
&SYSTEM
  ibrav = 0, nat = 10, ntyp = 3
/
ATOMIC_SPECIES
Sr 87.62 Sr.upf
Tc 98.00 Tc.upf
N 14.01 N.upf
CELL_PARAMETERS angstrom
-3.2660 2.6419 1.1300
-2.0220 0.5122 -5.2184
-2.8548 -5.9754 1.0950
ATOMIC_POSITIONS crystal
Sr 0.5780 0.7533 0.5080
Sr 0.9389 0.1857 0.1252
Tc 0.2145 0.2615 0.7044
Tc 0.1987 0.6715 0.9363
N 0.5583 0.4661 0.8333
N 0.1335 0.7195 0.1927
N 0.8510 0.4689 0.8057
N 0.5237 0.2095 0.3294
N 0.3717 0.2109 0.4669
N 0.1748 0.9550 0.8049


2.
! DySi2Os4 (PBE, optimized geometry); values from VASP
! Space-group type   No. 65
! Size of the total moment   0.0 μB per cell
! Energy relative to the elements, uncorrected   -0.499 eV/atom
! Crystal system   orthorhombic
&SYSTEM
  ibrav = 0, nat = 7, ntyp = 3
/
ATOMIC_SPECIES
Dy 162.50 Dy.upf
Si 28.09 Si.upf
Os 190.23 Os.upf
CELL_PARAMETERS angstrom
3.9688 0.0000 0.0000
0.0000 3.9852 0.0000
0.0000 -1.9926 7.0337
ATOMIC_POSITIONS crystal
Dy 0.0000 0.0000 0.0000
Si 0.5000 0.5839 0.1677
Si 0.5000 0.4161 0.8323
Os 0.5000 0.8140 0.6279
Os 0.0000 0.6889 0.3777
Os 0.5000 0.1860 0.3721
Os 0.0000 0.3111 0.6223


3.
! TlTeI2F (PBE, optimized geometry); values from VASP
! Space-group type   No. 123
! Size of the total moment   0.9 μB per cell
! Distance to the lowest polymorph of the same formula   0.251 eV/atom
! Energy relative to the elements, uncorrected   -0.411 eV/atom
! Crystal system   tetragonal
&SYSTEM
  ibrav = 0, nat = 5, ntyp = 4
/
ATOMIC_SPECIES
I 126.90 I.upf
Tl 204.38 Tl.upf
Te 127.60 Te.upf
F 19.00 F.upf
CELL_PARAMETERS angstrom
-3.1848 -4.2232 -3.4093
4.7195 -0.2027 -4.1577
1.8133 -3.1533 2.2121
ATOMIC_POSITIONS crystal
I 0.0000 0.5000 0.0000
I 0.5000 0.0000 0.0000
Tl 0.5000 0.5000 0.5000
Te 0.0000 0.0000 0.5000
F 0.0000 0.0000 0.0000


4.
! Ba3In2Hg4Bi2 (PBE, optimized geometry); values from VASP
! Space-group type   No. 139
! Size of the total moment   0.0 μB per cell
! Crystal system   tetragonal
! Formation energy   -4.681 eV/f.u.
&SYSTEM
  ibrav = 0, nat = 11, ntyp = 4
/
ATOMIC_SPECIES
Ba 137.33 Ba.upf
In 114.82 In.upf
Hg 200.59 Hg.upf
Bi 208.98 Bi.upf
CELL_PARAMETERS angstrom
5.1425 0.0000 0.0000
0.0000 5.1425 0.0000
-2.5712 -2.5712 14.4665
ATOMIC_POSITIONS crystal
Ba 0.0000 0.0000 0.0000
Ba 0.1939 0.1939 0.3877
Ba 0.8061 0.8061 0.6123
In 0.4487 0.4487 0.8974
In 0.5513 0.5513 0.1026
Hg 0.3987 0.8987 0.7974
Hg 0.8987 0.3987 0.7974
Hg 0.1013 0.6013 0.2026
Hg 0.6013 0.1013 0.2026
Bi 0.3219 0.3219 0.6437
Bi 0.6781 0.6781 0.3563


5.
! CuSeI2O (PBE, optimized geometry); values from VASP
! Space-group type   No. 123
! Size of the total moment   0.0 μB per cell
! Distance to the lowest polymorph of the same formula   0.003 eV/atom
! Energy relative to the elements, uncorrected   0.316 eV/atom
! Crystal system   tetragonal
&SYSTEM
  ibrav = 0, nat = 5, ntyp = 4
/
ATOMIC_SPECIES
I 126.90 I.upf
O 16.00 O.upf
Cu 63.55 Cu.upf
Se 78.96 Se.upf
CELL_PARAMETERS angstrom
5.8272 0.0000 0.0000
0.0000 5.8272 0.0000
0.0000 0.0000 3.8002
ATOMIC_POSITIONS crystal
I 0.0000 0.5000 0.0000
I 0.5000 0.0000 0.0000
O 0.0000 0.0000 0.5000
Cu 0.5000 0.5000 0.5000
Se 0.0000 0.0000 0.0000


6.
! DyHo2PuSe4 (PBE, optimized geometry); values from VASP
! Space-group type   No. 10
! Size of the total moment   5.9 μB per cell
! Energy relative to the elements, uncorrected   -1.705 eV/atom
! Crystal system   monoclinic
&SYSTEM
  ibrav = 0, nat = 8, ntyp = 4
/
ATOMIC_SPECIES
Dy 162.50 Dy.upf
Ho 164.93 Ho.upf
Pu 244.00 Pu.upf
Se 78.96 Se.upf
CELL_PARAMETERS angstrom
-2.8422 -0.3890 -2.8755
0.7724 -7.0302 0.1877
-4.9741 1.9142 4.6575
ATOMIC_POSITIONS crystal
Dy 0.0000 0.0000 0.0000
Ho 0.5000 0.0000 0.5000
Ho 0.0000 0.5000 0.5000
Pu 0.5000 0.5000 0.0000
Se 0.5000 0.2488 0.2536
Se 0.5000 0.7512 0.7464
Se 0.0000 0.2459 0.7448
Se 0.0000 0.7541 0.2552


7.
! SrH6C2S2N2O3 (PBE, optimized geometry); values from VASP
! Space-group type   No. 14
! Size of the total moment   0.0 μB per cell
! Energy   -371.3 eV per cell
! Crystal system   monoclinic
&SYSTEM
  ibrav = 0, nat = 64, ntyp = 6
/
ATOMIC_SPECIES
Sr 87.62 Sr.upf
H 1.01 H.upf
C 12.01 C.upf
S 32.06 S.upf
N 14.01 N.upf
O 16.00 O.upf
CELL_PARAMETERS angstrom
-6.6396 2.2528 -1.7740
-3.7266 -6.0685 6.2413
1.1045 10.3832 9.0514
ATOMIC_POSITIONS crystal
Sr 0.7574 0.8937 0.5487
Sr 0.7426 0.3937 0.0487
Sr 0.2426 0.1063 0.4513
Sr 0.2574 0.6063 0.9513
H 0.0004 0.0542 0.7269
H 0.4996 0.5542 0.2269
H 0.9996 0.9458 0.2731
H 0.5004 0.4458 0.7731
H 0.8404 0.1541 0.7007
H 0.6596 0.6541 0.2007
H 0.1596 0.8459 0.2993
H 0.3404 0.3459 0.7993
H 0.8092 0.6415 0.6910
H 0.6908 0.1415 0.1910
H 0.1908 0.3585 0.3090
H 0.3092 0.8585 0.8090
H 0.8328 0.7820 0.7583
H 0.6672 0.2820 0.2583
H 0.1672 0.2180 0.2417
H 0.3328 0.7180 0.7417
H 0.9277 0.6399 0.4051
H 0.5723 0.1399 0.9051
H 0.0723 0.3601 0.5949
H 0.4277 0.8601 0.0949
H 0.7473 0.5676 0.4385
H 0.7527 0.0676 0.9385
H 0.2527 0.4324 0.5615
H 0.2473 0.9324 0.0615
C 0.4002 0.0785 0.6903
C 0.0998 0.5785 0.1903
C 0.5998 0.9215 0.3097
C 0.9002 0.4215 0.8097
C 0.2337 0.7780 0.5461
C 0.2663 0.2780 0.0461
C 0.7663 0.2220 0.4539
C 0.7337 0.7220 0.9539
S 0.3016 0.1013 0.7970
S 0.1984 0.6013 0.2970
S 0.6984 0.8987 0.2030
S 0.8016 0.3987 0.7030
S 0.3897 0.6647 0.5748
S 0.1103 0.1647 0.0748
S 0.6103 0.3353 0.4252
S 0.8897 0.8353 0.9252
N 0.4686 0.0610 0.6122
N 0.0314 0.5610 0.1122
N 0.5314 0.9390 0.3878
N 0.9686 0.4390 0.8878
N 0.1233 0.8636 0.5255
N 0.3767 0.3636 0.0255
N 0.8767 0.1364 0.4745
N 0.6233 0.6364 0.9745
O 0.8765 0.0536 0.6978
O 0.6235 0.5536 0.1978
O 0.1235 0.9464 0.3022
O 0.3765 0.4464 0.8022
O 0.8088 0.7453 0.6907
O 0.6912 0.2453 0.1907
O 0.1912 0.2547 0.3093
O 0.3088 0.7547 0.8093
O 0.8160 0.6575 0.4445
O 0.6840 0.1575 0.9445
O 0.1840 0.3425 0.5555
O 0.3160 0.8425 0.0555


8.
! Na3UBi2Te6 (PBE, optimized geometry); values from VASP
! Space-group type   No. 12
! Size of the total moment   3.0 μB per cell
! Energy relative to the elements, uncorrected   -0.605 eV/atom
! Crystal system   monoclinic
&SYSTEM
  ibrav = 0, nat = 12, ntyp = 4
/
ATOMIC_SPECIES
Na 22.99 Na.upf
U 238.03 U.upf
Bi 208.98 Bi.upf
Te 127.60 Te.upf
CELL_PARAMETERS angstrom
7.8302 0.0005 0.0029
-3.9127 6.7825 0.0029
-1.3044 -2.2586 7.5970
ATOMIC_POSITIONS crystal
Na 0.1723 0.8277 0.5000
Na 0.8277 0.1723 0.5000
Na 0.5000 0.5000 0.5000
U 0.0000 0.0000 0.0000
Bi 0.3341 0.6659 0.0000
Bi 0.6659 0.3341 0.0000
Te 0.9217 0.5896 0.7635
Te 0.7477 0.7477 0.2389
Te 0.0783 0.4104 0.2365
Te 0.5896 0.9217 0.7635
Te 0.2523 0.2523 0.7611
Te 0.4104 0.0783 0.2365


9.
! Fe3Ni4Pt4 (PBE, optimized geometry); values from VASP
! Space-group type   No. 71
! Size of the total moment   12.5 μB per cell
! Crystal system   orthorhombic
! Formation energy   -1.864 eV/f.u.
&SYSTEM
  ibrav = 0, nat = 11, ntyp = 3
/
ATOMIC_SPECIES
Fe 55.84 Fe.upf
Ni 58.69 Ni.upf
Pt 195.08 Pt.upf
CELL_PARAMETERS angstrom
-0.8964 0.8792 -2.3683
-0.4363 -3.4500 -1.1158
-13.1017 1.3325 6.9745
ATOMIC_POSITIONS crystal
Fe 0.6354 0.6359 0.2720
Fe 0.3646 0.3642 0.7280
Fe 0.0000 0.0000 0.0000
Ni 0.0941 0.0943 0.1887
Ni 0.2711 0.2707 0.5411
Ni 0.7289 0.7293 0.4589
Ni 0.9058 0.9057 0.8113
Pt 0.5475 0.5478 0.0957
Pt 0.4525 0.4522 0.9043
Pt 0.8176 0.8172 0.6341
Pt 0.1824 0.1828 0.3659


10.
! Na8SnSb2 (PBE, optimized geometry); values from VASP
! Space-group type   No. 12
! Size of the total moment   0.0 μB per cell
! Energy relative to the elements, uncorrected   -0.310 eV/atom
! Crystal system   monoclinic
&SYSTEM
  ibrav = 0, nat = 11, ntyp = 3
/
ATOMIC_SPECIES
Na 22.99 Na.upf
Sn 118.71 Sn.upf
Sb 121.76 Sb.upf
CELL_PARAMETERS angstrom
-4.2449 3.0796 0.8795
-3.9201 -6.6703 4.4360
6.8313 3.9618 3.0235
ATOMIC_POSITIONS crystal
Na 0.3426 0.5496 0.6851
Na 0.6584 0.8653 0.3167
Na 0.8580 0.8572 0.7160
Na 0.9995 0.3076 0.9990
Na 0.1420 0.1428 0.2840
Na 0.3416 0.1347 0.6833
Na 0.6574 0.4504 0.3149
Na 0.0005 0.6924 0.0010
Sn 0.5000 0.0000 0.0000
Sb 0.7938 0.2942 0.5877
Sb 0.2062 0.7058 0.4123


11.
! Pm8Tl4In3 (PBE, optimized geometry); values from VASP
! Space-group type   No. 12
! Size of the total moment   0.0 μB per cell
! Crystal system   monoclinic
! Formation energy   -2.568 eV/f.u.
&SYSTEM
  ibrav = 0, nat = 15, ntyp = 3
/
ATOMIC_SPECIES
Pm 145.00 Pm.upf
Tl 204.38 Tl.upf
In 114.82 In.upf
CELL_PARAMETERS angstrom
10.7592 -0.1520 -0.2184
-5.2974 7.3606 -0.6428
-5.2974 -3.1580 6.6797
ATOMIC_POSITIONS crystal
Pm 0.5065 0.2516 0.2516
Pm 0.0000 0.6590 0.3410
Pm 0.9964 0.2509 0.2509
Pm 0.5000 0.7483 0.2517
Pm 0.5000 0.2517 0.7483
Pm 0.0036 0.7491 0.7491
Pm 0.0000 0.3410 0.6590
Pm 0.4935 0.7484 0.7484
Tl 0.5000 0.0000 0.0000
Tl 0.0000 0.5000 0.0000
Tl 0.0000 0.0000 0.0000
Tl 0.0000 0.0000 0.5000
In 0.5000 0.5000 0.0000
In 0.5000 0.0000 0.5000
In 0.5000 0.5000 0.5000


12.
! Pm4Ho8Mg (PBE, optimized geometry); values from VASP
! Space-group type   No. 166
! Size of the total moment   0.0 μB per cell
! Crystal system   trigonal
! Formation energy   2.341 eV/f.u.
&SYSTEM
  ibrav = 0, nat = 13, ntyp = 3
/
ATOMIC_SPECIES
Pm 145.00 Pm.upf
Ho 164.93 Ho.upf
Mg 24.30 Mg.upf
CELL_PARAMETERS angstrom
-2.9482 1.9301 -6.6726
1.6283 -7.2224 1.4582
-6.5035 -0.0262 7.1328
ATOMIC_POSITIONS crystal
Pm 0.0000 0.0000 0.0000
Pm 0.0000 0.5000 0.0000
Pm 0.5000 0.5000 0.0000
Pm 0.5000 0.0000 0.0000
Ho 0.5601 0.7800 0.3401
Ho 0.4399 0.2200 0.6599
Ho 0.5097 0.2548 0.3249
Ho 0.9300 0.1848 0.6751
Ho 0.4903 0.7452 0.6751
Ho 0.9300 0.7452 0.6751
Ho 0.0700 0.2548 0.3249
Ho 0.0700 0.8152 0.3249
Mg 0.0000 0.5000 0.5000


13.
! ReTc2Ir (PBE, optimized geometry); values from VASP
! Space-group type   No. 99
! Size of the total moment   0.0 μB per cell
! Distance to the lowest polymorph of the same formula   0.132 eV/atom
! Crystal system   tetragonal
! Formation energy   -0.189 eV/f.u.
&SYSTEM
  ibrav = 0, nat = 4, ntyp = 3
/
ATOMIC_SPECIES
Ir 192.22 Ir.upf
Re 186.21 Re.upf
Tc 98.00 Tc.upf
CELL_PARAMETERS angstrom
2.7393 0.0000 0.0000
0.0000 2.7393 0.0000
0.0000 0.0000 7.8098
ATOMIC_POSITIONS crystal
Ir 0.0000 0.0000 0.5025
Re 0.5000 0.5000 0.7489
Tc 0.0000 0.0000 0.0037
Tc 0.5000 0.5000 0.2450


14.
! CaZr2Tc (PBE, optimized geometry); values from VASP
! Space-group type   No. 44
! Size of the total moment   0.0 μB per cell
! Distance to the lowest polymorph of the same formula   0.169 eV/atom
! Crystal system   orthorhombic
! Formation energy   0.574 eV/f.u.
&SYSTEM
  ibrav = 0, nat = 4, ntyp = 3
/
ATOMIC_SPECIES
Ca 40.08 Ca.upf
Tc 98.00 Tc.upf
Zr 91.22 Zr.upf
CELL_PARAMETERS angstrom
-2.7909 3.1059 4.5151
-5.9662 1.4629 -0.2945
4.2511 -4.4440 -0.0369
ATOMIC_POSITIONS crystal
Ca 0.5354 0.5354 0.0000
Tc 0.7672 0.2672 0.5000
Zr 0.9479 0.9479 0.0000
Zr 0.2495 0.7495 0.5000


15.
! Ta5W4 (PBE, optimized geometry); values from VASP
! Space-group type   No. 193
! Size of the total moment   0.0 μB per cell
! Distance to the lowest polymorph of the same formula   0.393 eV/atom
! Crystal system   hexagonal
! Formation energy   2.680 eV/f.u.
&SYSTEM
  ibrav = 0, nat = 18, ntyp = 2
/
ATOMIC_SPECIES
W 183.84 W.upf
Ta 180.95 Ta.upf
CELL_PARAMETERS angstrom
-0.5806 -2.4979 7.9088
6.8915 -1.5041 4.4010
0.0799 5.0563 1.6028
ATOMIC_POSITIONS crystal
W 0.0000 0.0000 0.0000
W 0.0000 0.0000 0.5000
W 0.6444 0.3556 0.2500
W 0.0000 0.6444 0.2500
W 0.3556 0.0000 0.2500
W 0.3556 0.6444 0.7500
W 0.0000 0.3556 0.7500
W 0.6444 0.0000 0.7500
Ta 0.3074 0.6926 0.2500
Ta 0.0000 0.3074 0.2500
Ta 0.6926 0.0000 0.2500
Ta 0.6926 0.3074 0.7500
Ta 0.0000 0.6926 0.7500
Ta 0.3074 0.0000 0.7500
Ta 0.3333 0.3333 0.0000
Ta 0.6667 0.6667 0.5000
Ta 0.6667 0.6667 0.0000
Ta 0.3333 0.3333 0.5000


16.
! BaLi3Cr (PBE, optimized geometry); values from VASP
! Space-group type   No. 221
! Size of the total moment   5.3 μB per cell
! Distance to the lowest polymorph of the same formula   0.000 eV/atom
! Crystal system   cubic
! Formation energy   2.294 eV/f.u.
&SYSTEM
  ibrav = 0, nat = 5, ntyp = 3
/
ATOMIC_SPECIES
Cr 52.00 Cr.upf
Ba 137.33 Ba.upf
Li 6.94 Li.upf
CELL_PARAMETERS angstrom
5.3583 0.0000 0.0000
0.0000 5.3583 0.0000
0.0000 0.0000 5.3583
ATOMIC_POSITIONS crystal
Cr 0.0000 0.0000 0.0000
Ba 0.5000 0.5000 0.5000
Li 0.0000 0.5000 0.0000
Li 0.0000 0.0000 0.5000
Li 0.5000 0.0000 0.0000


17.
! RePt3C (PBE, optimized geometry); values from VASP
! Space-group type   No. 221
! Size of the total moment   1.1 μB per cell
! Distance to the lowest polymorph of the same formula   1.623 eV/atom
! Crystal system   cubic
! Formation energy   12.875 eV/f.u.
&SYSTEM
  ibrav = 0, nat = 5, ntyp = 3
/
ATOMIC_SPECIES
Re 186.21 Re.upf
C 12.01 C.upf
Pt 195.08 Pt.upf
CELL_PARAMETERS angstrom
-3.9615 -0.9101 2.6032
2.7577 -1.2955 3.7437
-0.0071 4.5598 1.5832
ATOMIC_POSITIONS crystal
Re 0.0000 0.0000 0.0000
C 0.5000 0.5000 0.5000
Pt 0.0000 0.5000 0.0000
Pt 0.0000 0.0000 0.5000
Pt 0.5000 0.0000 0.0000


18.
! Ba2YCu (PBE, optimized geometry); values from VASP
! Space-group type   No. 6
! Size of the total moment   0.0 μB per cell
! Distance to the lowest polymorph of the same formula   0.120 eV/atom
! Crystal system   monoclinic
! Formation energy   0.706 eV/f.u.
&SYSTEM
  ibrav = 0, nat = 4, ntyp = 3
/
ATOMIC_SPECIES
Ba 137.33 Ba.upf
Cu 63.55 Cu.upf
Y 88.91 Y.upf
CELL_PARAMETERS angstrom
-0.3423 -3.7512 -1.8215
4.2510 -0.5052 0.2414
1.1806 -4.1645 8.3543
ATOMIC_POSITIONS crystal
Ba 0.0000 0.9523 0.9701
Ba 0.5000 0.2653 0.3442
Cu 0.0000 0.6933 0.4905
Y 0.5000 0.5891 0.6952


19.
! Nb4Cl (PBE, optimized geometry); values from VASP
! Space-group type   No. 221
! Size of the total moment   0.0 μB per cell
! Energy relative to the elements, uncorrected   0.633 eV/atom
! Crystal system   cubic
&SYSTEM
  ibrav = 0, nat = 5, ntyp = 2
/
ATOMIC_SPECIES
Nb 92.91 Nb.upf
Cl 35.45 Cl.upf
CELL_PARAMETERS angstrom
-1.3533 -2.3363 3.6811
-0.9143 -3.6166 -2.6314
4.2630 -1.5173 0.6042
ATOMIC_POSITIONS crystal
Nb 0.0000 0.0000 0.0000
Nb 0.5000 0.0000 0.5000
Nb 0.0000 0.5000 0.5000
Nb 0.5000 0.5000 0.0000
Cl 0.5000 0.5000 0.5000


20.
! PIO2 (PBE, optimized geometry); values from VASP
! Space-group type   No. 227
! Size of the total moment   1.9 μB per cell
! Distance to the lowest polymorph of the same formula   0.691 eV/atom
! Energy relative to the elements, uncorrected   -0.573 eV/atom
! Crystal system   cubic
&SYSTEM
  ibrav = 0, nat = 8, ntyp = 3
/
ATOMIC_SPECIES
I 126.90 I.upf
P 30.97 P.upf
O 16.00 O.upf
CELL_PARAMETERS angstrom
-2.3142 -4.5177 -2.5842
5.0881 -2.5587 -0.0835
0.6127 -5.1950 2.2560
ATOMIC_POSITIONS crystal
I 0.0000 0.0000 0.0000
I 0.7500 0.2500 0.5000
P 0.5000 0.5000 0.0000
P 0.2500 0.7500 0.5000
O 0.3750 0.1250 0.2500
O 0.3750 0.6250 0.2500
O 0.3750 0.6250 0.7500
O 0.8750 0.6250 0.7500


21.
! SrLi2Pd (PBE, optimized geometry); values from VASP
! Space-group type   No. 11
! Size of the total moment   0.0 μB per cell
! Distance to the lowest polymorph of the same formula   0.000 eV/atom
! Crystal system   monoclinic
! Formation energy   -1.317 eV/f.u.
&SYSTEM
  ibrav = 0, nat = 8, ntyp = 3
/
ATOMIC_SPECIES
Sr 87.62 Sr.upf
Li 6.94 Li.upf
Pd 106.42 Pd.upf
CELL_PARAMETERS angstrom
4.2468 0.0100 0.0000
-2.1121 5.4968 0.0000
0.0000 0.0000 8.1474
ATOMIC_POSITIONS crystal
Sr 0.9465 0.8942 0.2500
Sr 0.0535 0.1058 0.7500
Li 0.3224 0.6460 0.5626
Li 0.6776 0.3540 0.4374
Li 0.3224 0.6460 0.9374
Li 0.6776 0.3540 0.0626
Pd 0.7666 0.5336 0.7500
Pd 0.2334 0.4664 0.2500